Record 1
Computed, not measured: a geometry-optimized Zn3Pb structure at the GGA-PBE level of DFT.

a b c (Å): 8.4383 3.3887 5.8087
angles (deg): 90.00 101.21 90.00
Space group C2/m (No. 12)
Symmetry-distinct sites (fractional):
Zn  0.0000  0.0000  0.0000 (multiplicity 2)
Zn  0.2361  0.5000  0.1782 (multiplicity 4)
Pb  0.0000  0.5000  0.5000 (multiplicity 2)

Results
ΔH_f (0 K) in eV/atom: 0.12
Total DFT energy (no corrections) in eV per atom: -1.76
Magnetization in μB/cell: 0.0

=====

Record 2
Computed, not measured: a geometry-optimized ZnPb structure at the GGA-PBE level of DFT.

a b c (Å): 8.9139 8.9139 8.9139
angles (deg): 90.00 90.00 90.00
Space group I-43m (No. 217)
Symmetry-distinct sites (fractional):
Zn  0.1823  0.1823  0.1823 (multiplicity 8)
Pb  0.1373  0.1373  0.8627 (multiplicity 8)

Results
ΔH_f (0 K) in eV/atom: 0.47
Total DFT energy (no corrections) in eV per atom: -2.02
Magnetization in μB/cell: 0.0

=====

Record 3
Computed, not measured: a geometry-optimized Zn3Pb structure at the GGA-PBE level of DFT.

a b c (Å): 3.2819 3.2819 8.9396
angles (deg): 90.00 90.00 120.00
Space group P-6m2 (No. 187)
Symmetry-distinct sites (fractional):
Zn  0.0000  0.0000  0.0000 (multiplicity 1)
Zn  0.6667  0.3333  0.2112 (multiplicity 2)
Pb  0.0000  0.0000  0.5000 (multiplicity 1)

Results
ΔH_f (0 K) in eV/atom: 0.19
Total DFT energy (no corrections) in eV per atom: -1.69
Magnetization in μB/cell: 0.0

=====

Record 4
Computed, not measured: a geometry-optimized ZnPb2 structure at the GGA-PBE level of DFT.

a b c (Å): 5.1918 5.1918 6.9703
angles (deg): 90.00 90.00 120.00
Space group P6_3/mmc (No. 194)
Symmetry-distinct sites (fractional):
Zn  0.3333  0.6667  0.2500 (multiplicity 2)
Pb  0.0000  0.0000  0.0000 (multiplicity 2)
Pb  0.3333  0.6667  0.7500 (multiplicity 2)

Results
Excess energy over the best structure of this formula in the dataset in eV per formula unit: 0.13
ΔH_f (0 K) in eV/atom: 0.13
Total DFT energy (no corrections) in eV per atom: -2.77
Magnetization in μB/cell: 0.0

=====

Calculated values (states/eV per cell) of DOS at the Fermi energy for the records, taken in order: 2.84; 8.43; 1.08; 2.47.